Compound: PaTe2I
Source: Alexandria
Functional: PBE-GGA
Structure: relaxed

- formation energy (no corrections) (kJ/mol of formula units) = -198
- total energy (eV per atom) = -4.8448
- polymorph energy (0 for the lowest one) (eV/atom) = 0.144
- M_tot (μB/atom) = 0.01
- volume (Å³/atom) = 39.6

a b c (Å): 7.538 4.352 9.968
angles (deg): 90.00 104.13 90.00
Space group P2_1 (No. 4)
Asymmetric unit:
Pa 0.250 0.000 0.000 (multiplicity 2)
Te 0.141 0.500 0.180 (multiplicity 2)
Te 0.358 0.500 0.820 (multiplicity 2)
I 0.250 0.496 0.500 (multiplicity 2)

Compound: PaTeI
Source: Alexandria
Functional: PBE-GGA
Structure: relaxed

- formation energy (no corrections) (kJ/mol of formula units) = -217
- total energy (eV per atom) = -5.4777
- polymorph energy (0 for the lowest one) (eV/atom) = 0.071
- M_tot (μB/atom) = 0.67
- volume (Å³/atom) = 39.4

a b c (Å): 16.622 4.172 7.096
angles (deg): 90.00 106.06 90.00
Space group C2/m (No. 12)
Asymmetric unit:
Pa 0.248 0.000 0.272 (multiplicity 4)
Te 0.138 0.000 0.843 (multiplicity 4)
I 0.111 0.500 0.324 (multiplicity 4)

Here are the calculated density numbers, same order: 6.4, 6.8 (g/cm³).